TmUMnO6: relaxed, PBE+U.

Properties
**Calculated total energy**: -8.530 eV/atom

Structure (CIF):
```
data_TmUMnO6
_cell_length_a 5.6310
_cell_length_b 5.6310
_cell_length_c 8.7837
_cell_angle_alpha 90.00
_cell_angle_beta 90.00
_cell_angle_gamma 120.00
_symmetry_space_group_name_H-M 'P 1'
_symmetry_Int_Tables_number 1
loop_
_symmetry_equiv_pos_as_xyz
'x,y,z'
loop_
_atom_site_label
_atom_site_type_symbol
_atom_site_fract_x
_atom_site_fract_y
_atom_site_fract_z
_atom_site_occupancy
Tm1 Tm 0.3333 0.6667 0.2500 1
Tm2 Tm 0.6667 0.3333 0.7500 1
U1 U 0.3333 0.6667 0.7500 1
U2 U 0.6667 0.3333 0.2500 1
Mn1 Mn 0.0000 0.0000 0.0000 1
Mn2 Mn 0.0000 0.0000 0.5000 1
O1 O 0.0210 0.3437 0.6283 1
O2 O 0.0210 0.6774 0.8717 1
O3 O 0.3226 0.3437 0.8717 1
O4 O 0.3226 0.9790 0.6283 1
O5 O 0.3437 0.0210 0.1283 1
O6 O 0.3437 0.3226 0.3717 1
O7 O 0.6563 0.6774 0.6283 1
O8 O 0.6563 0.9790 0.8717 1
O9 O 0.6774 0.0210 0.3717 1
O10 O 0.6774 0.6563 0.1283 1
O11 O 0.9790 0.3226 0.1283 1
O12 O 0.9790 0.6563 0.3717 1
```